Density functional theory data (PBE) for Nd5Bi4Ru after structural relaxation.

a = 6.4678 Å, b = 7.8228 Å, c = 7.8228 Å
α = 80.16°, β = 65.58°, γ = 65.58°
Closest atoms and distances in Å follow each position.
Positions (direct):
Ru1 0.9760 0.0000 0.0000  5 Nd 2.83-2.89
Bi1 0.6032 0.6089 0.2151  6 Nd 3.25-3.37
Bi2 0.2122 0.2151 0.3911  6 Nd 3.25-3.37
Bi3 0.4272 0.3911 0.7849  6 Nd 3.25-3.37
Bi4 0.8183 0.7849 0.6089  6 Nd 3.25-3.37
Nd1 0.7450 0.1765 0.3630  1 Ru 2.89
Nd2 0.9215 0.3630 0.8235  1 Ru 2.89
Nd3 0.2846 0.8235 0.6370  1 Ru 2.89
Nd4 0.4141 0.0000 0.0000  1 Ru 2.83
Nd5 0.1081 0.6370 0.1765  1 Ru 2.89

Computed properties:
Formation enthalpy at 0 K, kJ/mol of atoms: -61
Spin magnetization, μB/f.u.: 0.0
Density, kg/m3: 8391
E, eV/atom: -5.497